# 1
# La3SmInRh | Alexandria | GGA-PBE | relaxed
data_La3SmInRh
_space_group_name_H-M_alt 'I m m m'
_space_group_IT_number 71
_space_group_name_Hall '-I 2 2'
_cell_length_a 6.104
_cell_length_b 7.562
_cell_length_c 15.686
_cell_angle_alpha 90.00
_cell_angle_beta 90.00
_cell_angle_gamma 90.00
loop_
_atom_site_label
_atom_site_type_symbol
_atom_site_fract_x
_atom_site_fract_y
_atom_site_fract_z
_atom_site_occupancy
La1 La 0.000 0.000 0.185 1
La2 La 0.000 0.247 0.379 1
Sm1 Sm 0.000 0.297 0.000 1
In1 In 0.000 0.500 0.192 1
Rh1 Rh 0.236 0.500 0.500 1
# **Formation energy**: -0.4385 eV per atom

---

# 2
# Cd2TcOs | Alexandria | GGA-PBE | relaxed
data_Cd2TcOs
_space_group_name_H-M_alt 'I -4 m 2'
_space_group_IT_number 119
_space_group_name_Hall 'I -4 -2'
_cell_length_a 4.357
_cell_length_b 4.357
_cell_length_c 7.110
_cell_angle_alpha 90.00
_cell_angle_beta 90.00
_cell_angle_gamma 90.00
loop_
_atom_site_label
_atom_site_type_symbol
_atom_site_fract_x
_atom_site_fract_y
_atom_site_fract_z
_atom_site_occupancy
Cd1 Cd 0.000 0.000 0.000 1
Cd2 Cd 0.000 0.500 0.250 1
Tc1 Tc 0.000 0.000 0.500 1
Os1 Os 0.000 0.500 0.750 1
# **Formation energy**: 0.5940 eV per atom
# **Polymorph energy (0 for the lowest one)**: 0.436 eV/atom

---

# 3
# SmZrBi | Alexandria | GGA-PBE | relaxed
data_SmZrBi
_space_group_name_H-M_alt 'R -3 m'
_space_group_IT_number 166
_space_group_name_Hall '-R 3 2"'
_cell_length_a 5.3077
_cell_length_b 5.3077
_cell_length_c 22.9590
_cell_angle_alpha 90.00
_cell_angle_beta 90.00
_cell_angle_gamma 120.00
loop_
_atom_site_label
_atom_site_type_symbol
_atom_site_fract_x
_atom_site_fract_y
_atom_site_fract_z
_atom_site_occupancy
Sm1 Sm 0.0000 0.0000 0.0768 1
Zr1 Zr 0.0000 0.0000 0.3555 1
Bi1 Bi 0.0000 0.0000 0.2240 1
# **Formation energy**: -0.1395 eV per atom
# **Polymorph energy (0 for the lowest one)**: 0.441 eV/atom

---

- Which value of formation energy does entry 2 give?
  0.5940 eV per atom

---

- Which formula does entry 2 have?
  Cd2TcOs

---

- formation energy of number 2 (Cd2TcOs)?
  0.5940 eV per atom

---

- Look up the formation energy of the first one.
  -0.4385 eV per atom